No. 1
! GGA-PBE MgAg8Au2, relaxed; values from VASP
&SYSTEM
  ibrav = 0, nat = 11, ntyp = 3
/
ATOMIC_SPECIES
Mg 24.30 Mg.upf
Ag 107.87 Ag.upf
Au 196.97 Au.upf
CELL_PARAMETERS angstrom
4.8587 0.4479 0.3398
0.6936 7.1945 0.7615
0.6936 2.6706 6.7237
ATOMIC_POSITIONS angstrom
Mg 0.0000 0.0000 0.0000
Ag 1.8101 4.8534 5.4284
Ag 4.4358 3.7781 4.6125
Ag 1.5389 7.6552 5.8084
Ag 4.7070 2.6578 2.0166
Ag 1.8101 6.5348 3.2125
Ag 4.4358 5.4595 2.3966
Ag 4.1415 6.6737 5.0637
Ag 2.1044 3.6392 2.7613
Au 3.8042 8.9370 6.7810
Au 2.4416 1.3759 1.0440
! Energy relative to the elements: 8 kJ/mol of atoms
! Energy above the most stable polymorph in this dataset: 3.48 kcal/mol of atoms
! Symmetry: No. 12

***

No. 2
! GGA-PBE MgAg8Au3, relaxed; values from VASP
&SYSTEM
  ibrav = 0, nat = 12, ntyp = 3
/
ATOMIC_SPECIES
Mg 24.30 Mg.upf
Ag 107.87 Ag.upf
Au 196.97 Au.upf
CELL_PARAMETERS angstrom
7.3669 -0.8709 -1.3843
-3.7153 6.4207 1.3843
-3.7153 -1.5317 6.3872
ATOMIC_POSITIONS angstrom
Mg 0.0000 0.0000 0.0000
Ag 2.7274 0.1739 0.2764
Ag -0.9517 2.6340 4.1870
Ag -4.6350 5.0575 3.5845
Ag -4.6350 1.0418 6.1108
Ag 0.8880 1.3838 2.1996
Ag -2.7904 3.8442 6.1106
Ag -2.7960 3.8478 1.6609
Ag -2.7960 -0.1685 4.1876
Au -0.0319 3.9972 1.9429
Au -0.0319 0.0210 4.4443
Au -3.7153 2.4445 3.8858
! Energy relative to the elements: 17 kJ/mol of atoms
! Symmetry: No. 139

***

No. 3
! GGA-PBE Mg2AgAu, relaxed; values from VASP
&SYSTEM
  ibrav = 0, nat = 4, ntyp = 3
/
ATOMIC_SPECIES
Mg 24.30 Mg.upf
Au 196.97 Au.upf
Ag 107.87 Ag.upf
CELL_PARAMETERS angstrom
-4.5552 -0.5436 -0.8109
0.3011 -3.2982 0.5198
-0.8821 0.6339 4.5304
ATOMIC_POSITIONS angstrom
Mg -0.7345 0.1428 4.0302
Mg -2.5705 -0.4472 1.3573
Au -2.8611 -1.7779 3.8821
Ag -0.1428 -1.8239 2.0251
! Energy relative to the elements: -42 kJ/mol of atoms
! Energy above the most stable polymorph in this dataset: 0.24 kcal/mol of atoms
! Symmetry: No. 123

***

No. 4
! GGA-PBE Mg2AgAu, relaxed; values from VASP
&SYSTEM
  ibrav = 0, nat = 4, ntyp = 3
/
ATOMIC_SPECIES
Mg 24.30 Mg.upf
Au 196.97 Au.upf
Ag 107.87 Ag.upf
CELL_PARAMETERS angstrom
5.2851 -0.0252 -0.0380
2.2202 4.7962 0.0380
-3.7322 -2.4176 2.8565
ATOMIC_POSITIONS angstrom
Mg 0.0015 0.0010 0.0000
Mg 2.6542 -0.0277 1.4093
Au 1.1188 2.3811 1.4473
Ag 3.7512 2.3845 0.0000
! Energy relative to the elements: -38 kJ/mol of atoms
! Energy above the most stable polymorph in this dataset: 1.11 kcal/mol of atoms
! Symmetry: No. 119

***

No. 5
! GGA-PBE MgAgAu, relaxed; values from VASP
&SYSTEM
  ibrav = 0, nat = 6, ntyp = 3
/
ATOMIC_SPECIES
Mg 24.30 Mg.upf
Ag 107.87 Ag.upf
Au 196.97 Au.upf
CELL_PARAMETERS angstrom
-0.2903 -0.6801 -3.4613
0.4679 -4.3736 0.8201
-6.6128 -0.2548 2.4143
ATOMIC_POSITIONS angstrom
Mg -5.3588 -4.1100 -0.5526
Mg -1.0764 -1.1984 0.3257
Ag -3.4805 -1.7373 -1.1764
Ag -2.9547 -3.5711 0.9495
Au -5.6295 -1.5992 0.7863
Au -0.8057 -3.7092 -1.0132
! Energy relative to the elements: -36 kJ/mol of atoms
! Energy above the most stable polymorph in this dataset: 0.00 kcal/mol of atoms
! Symmetry: No. 63

***

No. 6
! GGA-PBE MgAg2Au3, relaxed; values from VASP
&SYSTEM
  ibrav = 0, nat = 12, ntyp = 3
/
ATOMIC_SPECIES
Mg 24.30 Mg.upf
Ag 107.87 Ag.upf
Au 196.97 Au.upf
CELL_PARAMETERS angstrom
-3.0552 1.2239 2.3685
-2.7408 -1.9360 -2.5350
1.0932 -10.4953 6.8333
ATOMIC_POSITIONS angstrom
Mg -3.8782 -4.9921 4.5170
Mg -0.0008 0.0003 0.0006
Ag -2.3262 -5.7710 6.9224
Ag -2.6902 -2.2768 4.6474
Ag -1.1889 -2.7150 -0.1297
Ag -0.4596 -9.7160 4.4286
Au -2.1720 -7.3229 4.4523
Au -0.9800 -4.6361 4.6001
Au -2.5301 -3.8849 2.2139
Au -1.3490 -1.1069 2.3038
Au -2.8991 -0.3557 -0.0825
Au -0.6139 -8.1642 6.8987
! Energy relative to the elements: -25 kJ/mol of atoms
! Energy above the most stable polymorph in this dataset: 0.00 kcal/mol of atoms
! Symmetry: No. 65

***

No. 7
! GGA-PBE MgAg4Au, relaxed; values from VASP
&SYSTEM
  ibrav = 0, nat = 6, ntyp = 3
/
ATOMIC_SPECIES
Mg 24.30 Mg.upf
Ag 107.87 Ag.upf
Au 196.97 Au.upf
CELL_PARAMETERS angstrom
0.0000 3.8676 3.8676
3.8676 0.0000 3.8676
3.8676 3.8676 0.0000
ATOMIC_POSITIONS angstrom
Mg 0.0000 0.0000 0.0000
Ag 2.9003 4.8348 4.8348
Ag 4.8348 4.8348 2.9003
Ag 4.8348 2.9003 4.8348
Ag 2.9003 2.9003 2.9003
Au 5.8013 5.8013 5.8013
! Energy relative to the elements: 1 kJ/mol of atoms
! Energy above the most stable polymorph in this dataset: 3.59 kcal/mol of atoms
! Symmetry: No. 216

***

No. 8
! GGA-PBE MgAg3Au4, relaxed; values from VASP
&SYSTEM
  ibrav = 0, nat = 8, ntyp = 3
/
ATOMIC_SPECIES
Mg 24.30 Mg.upf
Ag 107.87 Ag.upf
Au 196.97 Au.upf
CELL_PARAMETERS angstrom
-3.8990 1.1206 0.8712
-1.3161 -1.9023 -3.4433
0.2285 -8.5390 2.1254
ATOMIC_POSITIONS angstrom
Mg -1.9495 0.5603 0.4356
Ag -0.6581 -0.9511 -1.7217
Ag -1.1858 -4.4406 0.4051
Ag -3.8008 -4.8800 -0.8519
Au -2.8681 -2.1111 -0.2394
Au -2.1185 -7.2095 -0.2074
Au -3.4101 -5.6983 1.9492
Au -1.5765 -3.6223 -2.3960
! Energy relative to the elements: -19 kJ/mol of atoms
! Symmetry: No. 139

***

No. 9
! GGA-PBE MgAg7Au12, relaxed; values from VASP
&SYSTEM
  ibrav = 0, nat = 20, ntyp = 3
/
ATOMIC_SPECIES
Mg 24.30 Mg.upf
Ag 107.87 Ag.upf
Au 196.97 Au.upf
CELL_PARAMETERS angstrom
7.0273 0.9997 1.5006
-0.9937 7.0282 1.5006
-0.9937 -1.3222 7.0639
ATOMIC_POSITIONS angstrom
Mg 0.0000 0.0000 0.0000
Ag 4.4309 3.9470 8.8542
Ag 2.4807 0.5967 1.7141
Ag -0.1166 0.6002 3.0123
Ag 2.5200 3.3529 5.0325
Ag 5.1565 6.1055 7.0527
Ag 2.5593 6.1091 8.3509
Ag 0.6090 2.7588 1.2109
Au 5.0747 1.7193 6.9990
Au 4.7995 2.3083 2.4296
Au 3.7645 0.9315 4.6907
Au 5.1919 3.8695 4.6823
Au 0.8827 0.2193 5.7827
Au 2.2732 1.9858 7.3988
Au 2.7667 4.7200 2.6663
Au 4.1572 6.4865 4.2824
Au -0.1520 2.8363 5.3828
Au 1.2754 5.7743 5.3744
Au 0.2404 4.3974 7.6355
Au -0.0348 4.9865 3.0660
! Energy relative to the elements: 0 kJ/mol of atoms
! Symmetry: No. 148

***

No. 10
! GGA-PBE MgAg5Au5, relaxed; values from VASP
&SYSTEM
  ibrav = 0, nat = 11, ntyp = 3
/
ATOMIC_SPECIES
Mg 24.30 Mg.upf
Ag 107.87 Ag.upf
Au 196.97 Au.upf
CELL_PARAMETERS angstrom
-3.3775 -1.8754 4.2451
6.1189 0.4375 2.9197
3.6525 5.2224 4.6455
ATOMIC_POSITIONS angstrom
Mg 0.0000 0.0000 0.0000
Ag 3.1304 0.7005 2.8058
Ag 1.8953 2.9353 4.0999
Ag -1.6888 -0.9377 2.1225
Ag 4.4985 0.8493 7.7105
Ag 3.2634 3.0841 9.0046
Au 0.2985 0.9560 2.7068
Au 4.8842 3.5879 6.6041
Au 4.8857 2.8300 3.7826
Au 1.5096 0.1967 5.2062
Au 6.0953 2.8286 9.1036
! Energy relative to the elements: -7 kJ/mol of atoms
! Symmetry: No. 2

***

No. 11
! GGA-PBE MgAg4Au, relaxed; values from VASP
&SYSTEM
  ibrav = 0, nat = 6, ntyp = 3
/
ATOMIC_SPECIES
Mg 24.30 Mg.upf
Ag 107.87 Ag.upf
Au 196.97 Au.upf
CELL_PARAMETERS angstrom
4.2311 0.0001 0.0001
-2.1156 4.4002 -1.5017
-0.0001 -0.0930 5.8051
ATOMIC_POSITIONS angstrom
Mg 0.0000 -0.0465 2.9026
Ag -0.0001 2.9197 -0.0229
Ag 2.1155 1.3875 4.3263
Ag -0.0001 2.8789 2.8656
Ag 2.1155 1.4284 1.4378
Au 0.0000 0.0000 0.0000
! Energy relative to the elements: -14 kJ/mol of atoms
! Energy above the most stable polymorph in this dataset: 0.00 kcal/mol of atoms
! Symmetry: No. 12

***

No. 12
! GGA-PBE Mg12Ag3Au5, relaxed; values from VASP
&SYSTEM
  ibrav = 0, nat = 80, ntyp = 3
/
ATOMIC_SPECIES
Ag 107.87 Ag.upf
Au 196.97 Au.upf
Mg 24.30 Mg.upf
CELL_PARAMETERS angstrom
-1.6031 -4.6389 -12.8465
13.2568 -0.8466 3.5587
-7.5513 -7.6226 8.6021
ATOMIC_POSITIONS angstrom
Ag 2.8251 -4.7495 -7.2251
Ag 7.5960 -5.6468 -7.4964
Ag 4.6218 -7.1387 3.2279
Ag -1.5754 -4.1240 0.4590
Ag -1.6334 -6.0705 -8.6453
Ag 5.7965 -4.1744 -0.4428
Ag -1.6941 -8.9337 -0.2430
Ag 5.7358 -7.0376 7.9596
Ag 5.6778 -8.9841 -1.1448
Ag -0.5195 -5.9694 -3.9136
Ag -3.4936 -7.4613 6.8107
Ag 1.2773 -8.3586 6.5394
Au 2.8831 -2.8030 1.8792
Au 6.6284 -0.4233 1.7793
Au 0.0000 0.0000 0.0000
Au 1.7691 -2.9041 -2.8525
Au -4.5772 -6.1308 -2.1222
Au 5.8268 -2.7428 -4.6439
Au 6.9104 -4.0733 4.2890
Au -6.1526 -10.2548 -1.6632
Au 4.2514 -6.8668 -4.1849
Au -4.6075 -7.5624 2.0789
Au 8.7099 -5.5457 -2.7647
Au 2.0512 -6.5541 -0.3429
Au -0.8015 -2.3195 -6.4233
Au -3.7757 -3.8113 4.3010
Au -0.1491 -6.2413 3.4992
Au 10.2550 -2.8533 0.9775
Au 2.8527 -4.2346 6.0804
Au -2.8081 -9.0348 -4.9747
Au 2.3332 -10.2040 2.1667
Au 1.2193 -10.3051 -2.5650
Mg 0.1704 -3.9206 -8.3389
Mg 3.6604 -5.2535 1.3592
Mg 1.2706 -6.7743 -8.4308
Mg 1.0800 -3.7991 -5.2197
Mg 3.6285 -8.4412 0.7196
Mg 4.8589 -6.1286 -8.6149
Mg 6.6532 -5.3155 1.9933
Mg 10.9141 -2.1385 3.4135
Mg 6.5265 -8.5507 1.6954
Mg 5.4175 -5.1369 -5.7747
Mg 1.8486 -6.7608 -5.2312
Mg 10.4810 -5.0909 -6.9114
Mg 5.1833 -5.4890 5.6646
Mg 4.3499 -2.7556 -2.4086
Mg 9.3432 -3.9990 5.2664
Mg -3.2284 -6.3953 0.1776
Mg 0.3664 -2.2815 1.3560
Mg 7.5630 -3.1896 -2.6528
Mg 8.6335 -6.7290 -5.1043
Mg 4.6319 -1.5416 0.3859
Mg 6.0467 -8.4032 5.3113
Mg 4.3929 -6.3205 -1.6235
Mg 5.3466 -9.2489 -4.1104
Mg -3.6876 -10.8022 -0.9536
Mg -0.2906 -6.7876 0.9377
Mg -1.2443 -3.8592 3.4246
Mg 7.7900 -2.3059 0.2678
Mg -4.5312 -6.3791 4.4185
Mg -1.9443 -4.7050 -5.9971
Mg -0.5295 -11.5665 -1.0717
Mg -3.4606 -9.9185 1.9670
Mg 7.3307 -6.7128 -0.8633
Mg 3.7360 -10.8266 -2.0418
Mg -5.2409 -9.1091 -5.9522
Mg -1.0810 -7.6191 -6.3504
Mg -6.3786 -8.0173 6.2257
Mg -0.2475 -10.3525 1.7228
Mg -2.4241 -4.5574 -2.3812
Mg -1.3151 -7.9712 5.0889
Mg 2.2538 -6.3473 4.5455
Mg -6.8117 -10.9696 -4.0992
Mg -2.5508 -7.7927 -2.6790
Mg 3.0223 -9.3090 4.5339
Mg -0.7566 -6.9795 7.9292
Mg 0.4738 -4.6669 -1.4054
Mg 2.8318 -6.3338 7.7450
Mg 0.4420 -7.8546 -2.0450
Mg 3.9319 -9.1875 7.6532
! Energy relative to the elements: -9 kJ/mol of atoms
! Symmetry: No. 230